1.
## MnAlFe2 (PBE)

Data for crystalline MnAlFe2 at its relaxed geometry.

It has space group Immm (No. 71), with a = 2.945 Å, b = 4.060 Å, c = 8.013 Å, α = 90.00°, β = 90.00° and γ = 90.00°. The inequivalent atoms are Mn at (0.000, 0.000, 0.000), Al at (0.000, 0.000, 0.500) and Fe at (0.000, 0.500, 0.258).

The calculated total energy comes out at -7.57 eV/atom. The calculation puts the formation energy at -0.113 eV per atom.

2.
## Mn2Al7Fe2 (PBE)

Data for crystalline Mn2Al7Fe2 at its relaxed geometry.

It has space group Cmmm (No. 65), with a = 5.411 Å, b = 8.813 Å, c = 6.861 Å, α = 90.00°, β = 90.00° and γ = 90.00°. The inequivalent atoms are Mn at (0.184, 0.000, 0.000), Al at (0.000, 0.000, 0.500), Al at (0.000, 0.500, 0.291), Al at (0.250, 0.250, 0.196) and Fe at (0.000, 0.272, 0.500).

The calculated total energy comes out at -5.48 eV/atom. The calculation puts the formation energy at 0.109 eV per atom.

3.
## MnAl2Fe4 (PBE)

Data for crystalline MnAl2Fe4 at its relaxed geometry.

It has space group I4/mmm (No. 139), with a = 4.887 Å, b = 4.887 Å, c = 7.863 Å, α = 90.00°, β = 90.00° and γ = 90.00°. The inequivalent atoms are Mn at (0.000, 0.000, 0.000), Al at (0.000, 0.500, 0.000) and Fe at (0.250, 0.250, 0.250).

The calculated total energy comes out at -7.19 eV/atom. The calculation puts the formation energy at 0.028 eV per atom.

4.
## Mn2AlFe2 (PBE)

Data for crystalline Mn2AlFe2 at its relaxed geometry.

It has space group P4/mbm (No. 127), with a = 6.789 Å, b = 6.789 Å, c = 2.580 Å, α = 90.00°, β = 90.00° and γ = 90.00°. The inequivalent atoms are Mn at (0.170, 0.330, 0.000), Al at (0.000, 0.000, 0.500) and Fe at (0.124, 0.624, 0.500).

The calculated total energy comes out at -7.72 eV/atom. The calculation puts the formation energy at 0.083 eV per atom.

- Look up the calculated total energy of the first one.
  -7.57 eV/atom